VASP calculation (GGA-PBE) on Pm3Ge3Au after structural relaxation.

Cell lengths 5.901, 8.759, 8.759 Å; angles 120.00, 90.00, 90.00 degrees
Sites, in units of the cell vectors:
Pm (0.750, 0.686, 0.620)
Pm (0.750, 0.380, 0.066)
Pm (0.750, 0.934, 0.314)
Pm (0.250, 0.314, 0.380)
Pm (0.250, 0.620, 0.934)
Pm (0.250, 0.066, 0.686)
Ge (0.250, 0.709, 0.649)
Ge (0.250, 0.351, 0.060)
Ge (0.250, 0.940, 0.291)
Ge (0.750, 0.291, 0.351)
Ge (0.750, 0.649, 0.940)
Ge (0.750, 0.060, 0.709)
Au (0.250, 0.667, 0.333)
Au (0.750, 0.333, 0.667)

Output
ΔH_f (0 K), meV/atom: -554
Excess energy over the best structure of this formula in the dataset, eV/atom: 0.243
Total moment, μB per formula unit: 0.00